[1]
# FeTc2P

Crystalline FeTc2P at its relaxed geometry (GGA-PBE, Alexandria via LeMat-Bulk).

As for the density of states at the Fermi level: 3.18 states/eV/cell. The total moment is 2.31 Bohr magnetons per cell. For the formation energy, the calculation gives -167 meV/atom. The calculated total energy comes out at -35.3 eV/f.u.

Lattice parameters (Å, degrees): 4.176 4.176 2.940 90.00 90.00 90.00
Atoms (fractional coordinates):
Fe 0.000 0.000 0.000
Tc 0.000 0.500 0.500
Tc 0.500 0.000 0.500
P 0.500 0.500 0.000

---

[2]
# FeTc2P

Crystalline FeTc2P at its relaxed geometry (GGA-PBE, Alexandria via LeMat-Bulk).

As for the density of states at the Fermi level: 3.51 states/eV/cell. The total moment is 0.00 Bohr magnetons per cell. For the formation energy, the calculation gives -171 meV/atom. The calculated total energy comes out at -35.3 eV/f.u.

Lattice parameters (Å, degrees): 2.787 2.787 6.482 90.00 90.00 90.00
Atoms (fractional coordinates):
Fe 0.000 0.000 0.000
Tc 0.000 0.000 0.429
Tc 0.500 0.500 0.712
P 0.500 0.500 0.186

---

[3]
# FeTc2P2

Crystalline FeTc2P2 at its relaxed geometry (GGA-PBE, Alexandria via LeMat-Bulk).

As for the density of states at the Fermi level: 3.89 states/eV/cell. The distance to the lowest polymorph of the same formula comes out at 136 meV/atom. The total moment is 3.21 Bohr magnetons per cell. For the formation energy, the calculation gives 34 meV/atom. The calculated total energy comes out at -39.8 eV/f.u.

Lattice parameters (Å, degrees): 6.530 6.530 6.530 149.63 149.63 43.49
Atoms (fractional coordinates):
Fe 0.000 0.000 0.000
Tc 0.386 0.386 0.000
Tc 0.614 0.614 0.000
P 0.250 0.750 0.500
P 0.750 0.250 0.500

---

[4]
# FeTc2P

Crystalline FeTc2P at its relaxed geometry (GGA-PBE, Alexandria via LeMat-Bulk).

As for the density of states at the Fermi level: 4.76 states/eV/cell. The total moment is 2.52 Bohr magnetons per cell. For the formation energy, the calculation gives -41 meV/atom. The calculated total energy comes out at -34.8 eV/f.u.

Lattice parameters (Å, degrees): 2.838 3.666 5.295 90.00 101.76 90.00
Atoms (fractional coordinates):
Fe 0.000 0.000 0.000
Tc 0.361 0.500 0.739
Tc 0.639 0.500 0.261
P 0.000 0.000 0.500

---

[5]
# FeTcP6

Crystalline FeTcP6 at its relaxed geometry (GGA-PBE, Alexandria via LeMat-Bulk).

As for the density of states at the Fermi level: 12.34 states/eV/cell. The total moment is 2.58 Bohr magnetons per cell. For the formation energy, the calculation gives -222 meV/atom. The calculated total energy comes out at -53.1 eV/f.u.

Lattice parameters (Å, degrees): 6.817 6.817 8.064 124.85 124.85 69.20
Atoms (fractional coordinates):
Fe 0.000 0.500 0.000
Fe 0.500 0.000 0.000
Tc 0.000 0.500 0.500
Tc 0.500 0.000 0.500
P 0.003 0.713 0.872
P 0.134 0.837 0.344
P 0.163 0.866 0.656
P 0.287 0.997 0.128
P 0.354 0.354 0.009
P 0.367 0.367 0.736
P 0.633 0.633 0.264
P 0.646 0.646 0.991
P 0.713 0.003 0.872
P 0.837 0.134 0.344
P 0.866 0.163 0.656
P 0.997 0.287 0.128

---

[6]
# FeTc2P

Crystalline FeTc2P at its relaxed geometry (GGA-PBE, Alexandria via LeMat-Bulk).

As for the density of states at the Fermi level: 3.95 states/eV/cell. The total moment is 1.93 Bohr magnetons per cell. For the formation energy, the calculation gives -23 meV/atom. The calculated total energy comes out at -34.7 eV/f.u.

Lattice parameters (Å, degrees): 2.856 3.650 5.064 90.00 90.00 90.00
Atoms (fractional coordinates):
Fe 0.000 0.000 0.000
Tc 0.000 0.000 0.476
Tc 0.500 0.500 0.806
P 0.500 0.500 0.277

---

[7]
# FeTc2P

Crystalline FeTc2P at its relaxed geometry (GGA-PBE, Alexandria via LeMat-Bulk).

As for the density of states at the Fermi level: 3.58 states/eV/cell. The total moment is 3.31 Bohr magnetons per cell. For the formation energy, the calculation gives 185 meV/atom. The calculated total energy comes out at -33.9 eV/f.u.

Lattice parameters (Å, degrees): 2.787 2.787 7.859 90.00 90.00 114.87
Atoms (fractional coordinates):
Fe 0.000 0.000 0.000
Tc 0.500 0.500 0.270
Tc 0.500 0.500 0.730
P 0.000 0.000 0.500

---

[8]
# FeTc2P2

Crystalline FeTc2P2 at its relaxed geometry (GGA-PBE, Alexandria via LeMat-Bulk).

As for the density of states at the Fermi level: 6.06 states/eV/cell. The distance to the lowest polymorph of the same formula comes out at 10 meV/atom. The total moment is 6.04 Bohr magnetons per cell. For the formation energy, the calculation gives -92 meV/atom. The calculated total energy comes out at -40.5 eV/f.u.

Lattice parameters (Å, degrees): 6.829 6.829 2.933 90.00 90.00 90.00
Atoms (fractional coordinates):
Fe 0.000 0.000 0.000
Fe 0.500 0.500 0.000
Tc 0.145 0.355 0.000
Tc 0.355 0.855 0.000
Tc 0.645 0.145 0.000
Tc 0.855 0.645 0.000
P 0.153 0.653 0.500
P 0.347 0.153 0.500
P 0.653 0.847 0.500
P 0.847 0.347 0.500

---

- Which formula does entry 8 have?
  FeTc2P2

---

- The highest calculated total energy belongs to which entry?
  number 7